1.
VASP calculation (GGA-PBE) on crystalline PrGa2RuO8 at its relaxed geometry.

Lattice parameters (Å, degrees): 4.717 6.546 4.739 90.00 91.08 90.00
Fractional positions:
1 Pr 0.000 0.000 0.000
2 Ga 0.500 0.261 0.500
3 Ga 0.500 0.739 0.500
4 Ru 0.000 0.500 0.000
5 O 0.208 0.294 0.202
6 O 0.208 0.706 0.202
7 O 0.291 0.500 0.703
8 O 0.331 0.000 0.661
9 O 0.669 0.000 0.339
10 O 0.709 0.500 0.297
11 O 0.792 0.294 0.798
12 O 0.792 0.706 0.798

Summary:
Symmetry: No. 10

2.
VASP calculation (GGA-PBE) on crystalline PrGa2SbO8 at its relaxed geometry.

Lattice parameters (Å, degrees): 5.917 5.917 5.917 109.04 109.04 110.34
Fractional positions:
1 Pr 0.000 0.000 0.000
2 Ga 0.500 0.500 0.000
3 Ga 0.750 0.250 0.500
4 Sb 0.250 0.750 0.500
5 O 0.309 0.108 0.799
6 O 0.309 0.510 0.201
7 O 0.373 0.037 0.336
8 O 0.490 0.691 0.799
9 O 0.702 0.037 0.664
10 O 0.892 0.691 0.201
11 O 0.963 0.298 0.336
12 O 0.963 0.627 0.664

Summary:
Symmetry: No. 119

3.
VASP calculation (GGA-PBE) on crystalline Pr3ScGa2O9 at its relaxed geometry.

Lattice parameters (Å, degrees): 5.576 5.576 6.890 90.00 90.00 120.00
Fractional positions:
1 Pr 0.000 0.000 0.000
2 Pr 0.333 0.667 0.690
3 Pr 0.667 0.333 0.310
4 Sc 0.000 0.000 0.500
5 Ga 0.333 0.667 0.170
6 Ga 0.667 0.333 0.830
7 O 0.000 0.500 0.000
8 O 0.168 0.336 0.323
9 O 0.168 0.832 0.323
10 O 0.336 0.168 0.677
11 O 0.500 0.000 0.000
12 O 0.500 0.500 0.000
13 O 0.664 0.832 0.323
14 O 0.832 0.168 0.677
15 O 0.832 0.664 0.677

Summary:
Symmetry: No. 164

We obtain E_form (uncorrected) values of -1.53; -1.52; -2.77 eV per atom for the records listed above, in that order.